Record 1
DFT (PBE) results for crystalline HfPaPdRh at its relaxed geometry.

a b c (Å): 4.809 4.809 4.809
angles (deg): 60.00 60.00 60.00
Fractional coordinates of all 4 atoms:
Hf 0.000 0.000 0.000
Pa 0.500 0.500 0.500
Pd 0.750 0.750 0.750
Rh 0.250 0.250 0.250

Results
Calculated total energy (eV/f.u.): -34.09
Crystal system: cubic
Energy of formation (eV per atom): -0.525
Magnetic moment (μB per formula unit): 0.57
N(E_F) (states/eV per atom): 1.4626



Record 2
DFT (PBE) results for crystalline TlCd2 at its relaxed geometry.

a b c (Å): 4.221 4.221 4.996
angles (deg): 90.00 90.00 90.00
Fractional coordinates of all 3 atoms:
Tl 0.000 0.000 0.000
Cd 0.000 0.500 0.500
Cd 0.500 0.000 0.500

Results
Calculated total energy (eV/f.u.): -3.81
Crystal system: tetragonal
Energy of formation (eV per atom): 0.130
Magnetic moment (μB per formula unit): 0.00
N(E_F) (states/eV per atom): 0.5945



Record 3
DFT (PBE) results for crystalline BaLa2Fe at its relaxed geometry.

a b c (Å): 6.380 6.380 6.380
angles (deg): 135.09 135.09 65.39
Fractional coordinates of all 4 atoms:
Ba 0.000 0.000 0.000
La 0.500 0.500 0.000
La 0.750 0.250 0.500
Fe 0.250 0.750 0.500

Results
Calculated total energy (eV/f.u.): -17.89
Crystal system: tetragonal
Energy of formation (eV per atom): 0.587
Magnetic moment (μB per formula unit): 2.38
N(E_F) (states/eV per atom): 2.2233



Record 4
DFT (PBE) results for crystalline PmBe2Pt2N at its relaxed geometry.

a b c (Å): 6.278 6.278 6.278
angles (deg): 144.06 144.06 51.74
Fractional coordinates of all 6 atoms:
Pm 0.000 0.000 0.000
Be 0.360 0.360 0.000
Be 0.640 0.640 0.000
Pt 0.250 0.750 0.500
Pt 0.750 0.250 0.500
N 0.500 0.500 0.000

Results
Calculated total energy (eV/f.u.): -38.91
Uncorrected formation energy (kJ/mol of atoms): -101.3
Crystal system: tetragonal
Magnetic moment (μB per formula unit): 0.00
N(E_F) (states/eV per atom): 0.1049



Record 5
DFT (PBE) results for crystalline ErBe2Ni5 at its relaxed geometry.

a b c (Å): 5.653 5.653 5.653
angles (deg): 143.58 113.55 78.22
Fractional coordinates of all 8 atoms:
Er 0.000 0.000 0.000
Be 0.265 0.765 0.500
Be 0.735 0.235 0.500
Ni 0.157 0.350 0.807
Ni 0.457 0.650 0.807
Ni 0.500 0.000 0.500
Ni 0.543 0.350 0.193
Ni 0.843 0.650 0.193

Results
Calculated total energy (eV/f.u.): -43.65
Crystal system: orthorhombic
Energy of formation (eV per atom): -0.341
Magnetic moment (μB per formula unit): 0.00
N(E_F) (states/eV per atom): 0.4888



Record 6
DFT (PBE) results for crystalline BaLa2Si6 at its relaxed geometry.

a b c (Å): 7.269 7.269 4.498
angles (deg): 90.00 90.00 120.00
Fractional coordinates of all 9 atoms:
Ba 0.000 0.000 0.000
La 0.333 0.667 0.000
La 0.667 0.333 0.000
Si 0.000 0.339 0.500
Si 0.000 0.661 0.500
Si 0.339 0.000 0.500
Si 0.339 0.339 0.500
Si 0.661 0.000 0.500
Si 0.661 0.661 0.500

Results
Calculated total energy (eV/f.u.): -48.78
Uncorrected formation energy (kJ/mol of atoms): -47.8
Crystal system: hexagonal
Magnetic moment (μB per formula unit): 0.00
N(E_F) (states/eV per atom): 0.7645



Record 7
DFT (PBE) results for crystalline SrTl3B at its relaxed geometry.

a b c (Å): 5.164 5.164 5.164
angles (deg): 90.00 90.00 90.00
Fractional coordinates of all 5 atoms:
Sr 0.000 0.000 0.000
Tl 0.000 0.500 0.500
Tl 0.500 0.000 0.500
Tl 0.500 0.500 0.000
B 0.500 0.500 0.500

Results
Calculated total energy (eV/f.u.): -13.38
Crystal system: cubic
Energy of formation (eV per atom): 0.415
Magnetic moment (μB per formula unit): 0.00
N(E_F) (states/eV per atom): 0.8594



Record 8
DFT (PBE) results for crystalline Cd3SnB at its relaxed geometry.

a b c (Å): 5.518 5.518 5.518
angles (deg): 90.00 90.00 90.00
Fractional coordinates of all 5 atoms:
Cd 0.000 0.000 0.500
Cd 0.000 0.500 0.000
Cd 0.500 0.000 0.000
Sn 0.000 0.000 0.000
B 0.500 0.500 0.500

Results
Calculated total energy (eV/f.u.): -6.67
Crystal system: cubic
Energy of formation (eV per atom): 1.350
Magnetic moment (μB per formula unit): 0.00
N(E_F) (states/eV per atom): 0.9656



Record 9
DFT (PBE) results for crystalline K2BaMo at its relaxed geometry.

a b c (Å): 7.992 7.992 4.124
angles (deg): 103.63 103.63 125.23
Fractional coordinates of all 4 atoms:
K 0.000 0.500 0.000
K 0.500 0.000 0.000
Ba 0.000 0.000 0.500
Mo 0.500 0.500 0.500

Results
Calculated total energy (eV/f.u.): -10.35
Crystal system: monoclinic
Energy of formation (eV per atom): 1.149
Magnetic moment (μB per formula unit): 3.90
N(E_F) (states/eV per atom): 0.9270



Record 10
DFT (PBE) results for crystalline MnNb2Pt at its relaxed geometry.

a b c (Å): 3.932 3.932 4.173
angles (deg): 90.00 90.00 90.00
Fractional coordinates of all 4 atoms:
Mn 0.000 0.000 0.000
Nb 0.000 0.500 0.500
Nb 0.500 0.000 0.500
Pt 0.500 0.500 0.000

Results
Calculated total energy (eV/f.u.): -36.42
Crystal system: tetragonal
Energy of formation (eV per atom): -0.268
Magnetic moment (μB per formula unit): 2.35
N(E_F) (states/eV per atom): 0.9593



Record 11
DFT (PBE) results for crystalline Er5Tl2Ru at its relaxed geometry.

a b c (Å): 6.651 6.651 6.578
angles (deg): 115.91 115.91 96.99
Fractional coordinates of all 8 atoms:
Er 0.000 0.000 0.000
Er 0.057 0.549 0.064
Er 0.091 0.091 0.570
Er 0.517 0.517 0.560
Er 0.549 0.057 0.064
Tl 0.029 0.572 0.547
Tl 0.572 0.029 0.547
Ru 0.713 0.713 0.095

Results
Calculated total energy (eV/f.u.): -38.33
Crystal system: monoclinic
Energy of formation (eV per atom): -0.188
Magnetic moment (μB per formula unit): 0.00
N(E_F) (states/eV per atom): 0.5719



Record 12
DFT (PBE) results for crystalline KCuCl2 at its relaxed geometry.

a b c (Å): 5.567 5.567 5.567
angles (deg): 140.68 106.32 86.87
Fractional coordinates of all 4 atoms:
K 0.000 0.000 0.000
Cu 0.500 0.500 0.000
Cl 0.306 0.806 0.500
Cl 0.694 0.194 0.500

Results
Calculated total energy (eV/f.u.): -12.96
Uncorrected formation energy (kJ/mol of atoms): -98.2
Crystal system: orthorhombic
Magnetic moment (μB per formula unit): 0.00



Record 13
DFT (PBE) results for crystalline AcPm2HfO6 at its relaxed geometry.

a b c (Å): 5.572 5.572 5.690
angles (deg): 90.00 90.00 90.00
Fractional coordinates of all 10 atoms:
Ac 0.000 0.000 0.000
Pm 0.000 0.500 0.454
Pm 0.500 0.000 0.454
Hf 0.500 0.500 0.072
O 0.000 0.000 0.591
O 0.265 0.265 0.229
O 0.265 0.735 0.229
O 0.500 0.500 0.725
O 0.735 0.265 0.229
O 0.735 0.735 0.229

Results
Calculated total energy (eV/f.u.): -84.37
Uncorrected formation energy (kJ/mol of atoms): -299.7
Crystal system: tetragonal
Magnetic moment (μB per formula unit): 0.54
N(E_F) (states/eV per atom): 0.3357